CrNiO2: optimized geometry, PBE+U.

It has space group P1 (No. 1), with a = 2.993 Å, b = 5.335 Å, c = 5.669 Å, α = 97.25°, β = 97.28° and γ = 90.13°. Symmetry generates all atoms from Cr at (0.000, 0.000, 0.000), Cr at (0.499, 0.507, 0.007), Ni at (0.742, 0.753, 0.502), Ni at (0.748, 0.253, 0.503), O at (0.044, 0.703, 0.195), O at (0.456, 0.804, 0.813), O at (0.546, 0.195, 0.180) and O at (0.954, 0.313, 0.826).

The density of states at the Fermi level is 0.00 states/eV/f.u. The calculation puts the total energy at -50.08 eV for the cell shown.